(1)
Computed, not measured: a relaxed Na2Sc3Te6 crystal at the PBE level of DFT.

Properties
Total DFT energy (no corrections): -4.799 eV per atom
Size of the total moment: 0.00 μB per cell
Formation energy without anion corrections: -1.119 eV/atom

a b c (Å): 7.100 12.291 8.205
angles (deg): 90.00 106.79 90.00
Space group C2/m (No. 12)
Asymmetric unit:
Na 0.000 0.166 0.000
Sc 0.000 0.000 0.500
Sc 0.000 0.332 0.500
Te 0.237 0.500 0.720
Te 0.242 0.165 0.721

=====

(2)
Computed, not measured: a relaxed NaAg2BiBr6 crystal at the PBE level of DFT.

Properties
Total DFT energy (no corrections): -2.819 eV per atom
Size of the total moment: 0.00 μB per cell
Formation energy without anion corrections: -0.725 eV/atom

a b c (Å): 7.3663 7.3663 19.9196
angles (deg): 90.00 90.00 120.00
Space group R3 (No. 146, hexagonal axes)
Asymmetric unit:
Na 0.0000 0.0000 0.0000
Ag 0.0000 0.0000 0.2948
Ag 0.0000 0.0000 0.8055
Bi 0.0000 0.0000 0.4905
Br 0.0177 0.3490 0.5655
Br 0.0192 0.6471 0.0664

=====

(3)
Computed, not measured: a relaxed PmTlGeO5 crystal at the PBE level of DFT.

Properties
Total DFT energy (no corrections): -6.467 eV per atom
Size of the total moment: 0.00 μB per cell
Formation energy without anion corrections: -1.902 eV/atom

a b c (Å): 7.026 9.716 7.132
angles (deg): 90.00 110.90 90.00
Space group C2/c (No. 15)
Asymmetric unit:
Pm 0.000 0.155 0.250
Tl 0.000 0.500 0.000
Ge 0.000 0.178 0.750
O 0.000 0.392 0.250
O 0.136 0.280 0.633
O 0.150 0.062 0.941